[1]
10
Lattice="6.120 -2.294 0.000 6.120 2.294 0.000 -5.978 0.000 10.815" Properties=species:S:1:pos:R:3 comment="Ac2SbAu2 (GGA-PBE, optimized geometry)" e_form_raw_mev_per_atom=-860 sg="No. 12" e_tot_ev_per_atom=-4.639 pbc="T T T"
Ac -1.294 0.000 4.366
Ac -1.200 0.000 9.231
Ac 7.462 0.000 1.584
Ac 7.556 0.000 6.449
Sb 3.871 0.000 1.950
Sb 2.391 0.000 8.866
Au -4.927 0.000 9.930
Au 1.928 0.000 4.212
Au 4.334 0.000 6.603
Au 11.189 0.000 0.885

[2]
16
Lattice="-4.427 4.427 7.161 4.427 -4.427 7.161 4.427 4.427 -7.161" Properties=species:S:1:pos:R:3 comment="Ac5SbAu2 (GGA-PBE, optimized geometry)" e_form_raw_mev_per_atom=-673 sg="No. 140" e_tot_ev_per_atom=-4.576 pbc="T T T"
Ac 0.000 0.000 0.000
Ac 5.801 1.373 -2.036
Ac 1.373 3.054 -2.036
Ac 5.801 1.373 2.036
Ac 1.373 3.054 2.036
Ac 0.000 0.000 7.161
Ac 3.054 1.373 5.125
Ac -1.373 3.054 5.125
Ac 3.054 1.373 9.197
Ac -1.373 3.054 9.197
Sb 0.000 0.000 3.580
Sb 0.000 0.000 10.741
Au 3.198 1.230 0.000
Au 3.198 -1.230 7.161
Au 1.230 5.657 0.000
Au 1.230 3.198 7.161